VASP calculation (GGA-PBE) on crystalline Mn4Ag at its relaxed geometry.

Unit cell a=5.713 b=5.713 c=3.708 alpha=90.00 beta=90.00 gamma=90.00
Space group I4/m (No. 87)
Inequivalent atoms, fractional coordinates:
Mn 0.078 0.687 0.000 [8 per cell]
Ag 0.000 0.000 0.500 [2 per cell]

Properties
crystal system	tetragonal
ρ	8.99	Mg/m³
V	12.10	A^3/atom
ΔH_f (0 K)	479	meV/atom
size of the total moment	0.00	μB per cell
relative energy among the computed polymorphs	0	meV/atom